No. 1
VASP calculation (GGA-PBE) on MnTlMo4 after structural relaxation.

Results
The calculation puts the density of states at the Fermi level at 5.0 states/eV/f.u. As for the total energy: -8.569 eV per atom. The value obtained for the formation energy is 0.575 eV per atom. The space-group type is F-43m.

a b c (Å): 5.2842 5.2842 5.2842
angles (deg): 60.00 60.00 60.00
Site moments in Bohr magnetons follow the coordinates.
Positions (direct):
Mn (0.0000, 0.0000, 0.0000)  3.23
Tl (0.7500, 0.7500, 0.7500)  -0.03
Mo (0.8755, 0.3748, 0.3748)  -0.22
Mo (0.3748, 0.3748, 0.3748)  -0.22
Mo (0.3748, 0.3748, 0.8755)  -0.22
Mo (0.3748, 0.8755, 0.3748)  -0.22


No. 2
VASP calculation (GGA-PBE) on Mn2TlMo after structural relaxation.

Results
The calculation puts the density of states at the Fermi level at 3.7 states/eV/f.u. The distance to the lowest polymorph of the same formula is 64 kJ/mol of formula units. As for the total energy: -7.367 eV per atom. The value obtained for the formation energy is 0.517 eV per atom. The space-group type is Imm2.

a b c (Å): 5.1971 5.1971 5.1971
angles (deg): 143.55 129.29 64.05
Site moments in Bohr magnetons follow the coordinates.
Positions (direct):
Tl (0.2502, 0.7502, 0.5000)  -0.06
Mn (0.7409, 0.2409, 0.5000)  2.09
Mn (0.9854, 0.9854, 0.0000)  3.05
Mo (0.5235, 0.5235, 0.0000)  -0.93


No. 3
VASP calculation (GGA-PBE) on MnTlMo2 after structural relaxation.

Results
The calculation puts the density of states at the Fermi level at 2.7 states/eV/f.u. The distance to the lowest polymorph of the same formula is 0 kJ/mol of formula units. As for the total energy: -7.908 eV per atom. The value obtained for the formation energy is 0.392 eV per atom. The space-group type is P4mm.

a b c (Å): 3.2609 3.2609 6.4770
angles (deg): 90.00 90.00 90.00
Site moments in Bohr magnetons follow the coordinates.
Positions (direct):
Tl (0.0000, 0.0000, 0.5105)  -0.02
Mo (0.5000, 0.5000, 0.2096)  0.35
Mo (0.0000, 0.0000, 0.0003)  -0.26
Mn (0.5000, 0.5000, 0.7795)  3.30


No. 4
VASP calculation (GGA-PBE) on MnTlMo2 after structural relaxation.

Results
The calculation puts the density of states at the Fermi level at 3.8 states/eV/f.u. The distance to the lowest polymorph of the same formula is 55 kJ/mol of formula units. As for the total energy: -7.765 eV per atom. The value obtained for the formation energy is 0.534 eV per atom. The space-group type is R3m.

a b c (Å): 8.9045 8.9045 8.9045
angles (deg): 19.95 19.95 19.95
Site moments in Bohr magnetons follow the coordinates.
Positions (direct):
Mo (0.2607, 0.2607, 0.2607)  0.04
Mo (0.9991, 0.9991, 0.9991)  -0.30
Mn (0.7416, 0.7416, 0.7416)  3.31
Tl (0.4986, 0.4986, 0.4986)  -0.04